The following is a PBE calculation of an optimized crystal structure of RbGa2Sn, from Alexandria.

As for the symmetry: No. 141. The electronic total energy is -2.707 eV per atom. Its crystal system is tetragonal. For the calculated formation energy, the calculation gives 4.7 kJ/mol of atoms. The calculation puts the total magnetization at 0.000 μB/f.u.

Cell lengths 10.369, 10.369, 10.369 Å; angles 149.36, 149.36, 43.88 degrees
Fractional coordinates of all 8 atoms:
Rb (0.375, 0.625, 0.750)
Rb (0.625, 0.375, 0.250)
Ga (0.000, 0.000, 0.000)
Ga (0.000, 0.000, 0.500)
Ga (0.000, 0.500, 0.000)
Ga (0.500, 0.000, 0.500)
Sn (0.125, 0.875, 0.250)
Sn (0.875, 0.125, 0.750)



The following is a PBE calculation of an optimized crystal structure of Sm3B2C4, from Alexandria.

As for the symmetry: No. 12. The electronic total energy is -7.093 eV per atom. Its crystal system is monoclinic. For the calculated formation energy, the calculation gives 6.1 kJ/mol of atoms. The calculation puts the total magnetization at 0.000 μB/f.u.

Cell lengths 6.598, 6.598, 6.835 Å; angles 118.55, 118.55, 30.51 degrees
Fractional coordinates of all 9 atoms:
Sm (0.000, 0.000, 0.000)
Sm (0.323, 0.323, 0.376)
Sm (0.677, 0.677, 0.624)
B (0.310, 0.310, 0.947)
B (0.690, 0.690, 0.053)
C (0.175, 0.175, 0.924)
C (0.342, 0.342, 0.749)
C (0.658, 0.658, 0.251)
C (0.825, 0.825, 0.076)



The following is a PBE calculation of an optimized crystal structure of Tm6Si2Te3As, from Alexandria.

As for the symmetry: No. 12. The electronic total energy is -5.511 eV per atom. As for the uncorrected formation energy: -1.20 eV/atom. Its crystal system is monoclinic. The calculation puts the total magnetization at 0.000 μB/f.u.

Cell lengths 9.438, 9.438, 8.481 Å; angles 104.22, 104.22, 25.50 degrees
Fractional coordinates of all 12 atoms:
Tm (0.010, 0.010, 0.236)
Tm (0.326, 0.326, 0.436)
Tm (0.338, 0.338, 0.895)
Tm (0.662, 0.662, 0.105)
Tm (0.674, 0.674, 0.564)
Tm (0.990, 0.990, 0.764)
Si (0.167, 0.167, 0.333)
Si (0.833, 0.833, 0.667)
Te (0.165, 0.165, 0.834)
Te (0.500, 0.500, 0.500)
Te (0.835, 0.835, 0.166)
As (0.500, 0.500, 0.000)



The following is a PBE calculation of an optimized crystal structure of B5C7, from Alexandria.

As for the symmetry: No. 5. The electronic total energy is -7.796 eV per atom. The calculation puts the energy above the most stable polymorph in this dataset at 126 kJ/mol of formula units. Its crystal system is monoclinic. For the calculated formation energy, the calculation gives 35.4 kJ/mol of atoms. The calculation puts the total magnetization at 0.000 μB/f.u.

Cell lengths 6.034, 6.034, 3.644 Å; angles 90.05, 90.05, 143.28 degrees
Fractional coordinates of all 12 atoms:
B (0.000, 0.000, 0.000)
B (0.055, 0.548, 0.260)
B (0.452, 0.945, 0.740)
B (0.651, 0.349, 0.000)
B (0.850, 0.150, 0.500)
C (0.153, 0.847, 0.500)
C (0.191, 0.352, 0.744)
C (0.333, 0.172, 0.265)
C (0.347, 0.653, 0.000)
C (0.501, 0.499, 0.500)
C (0.648, 0.809, 0.256)
C (0.828, 0.667, 0.735)



The following is a PBE calculation of an optimized crystal structure of TbCeGe2Pt5, from Alexandria.

As for the symmetry: No. 123. The electronic total energy is -6.442 eV per atom. Its crystal system is tetragonal. For the calculated formation energy, the calculation gives -85.5 kJ/mol of atoms. The calculation puts the total magnetization at 0.424 μB/f.u.

Cell lengths 4.275, 4.275, 9.143 Å; angles 90.00, 90.00, 90.00 degrees
Fractional coordinates of all 9 atoms:
Tb (0.000, 0.000, 0.000)
Ce (0.000, 0.000, 0.500)
Ge (0.500, 0.500, 0.133)
Ge (0.500, 0.500, 0.867)
Pt (0.000, 0.500, 0.273)
Pt (0.000, 0.500, 0.727)
Pt (0.500, 0.000, 0.273)
Pt (0.500, 0.000, 0.727)
Pt (0.500, 0.500, 0.500)



The following is a PBE calculation of an optimized crystal structure of BaNi3Pd, from Alexandria.

As for the symmetry: No. 221. The electronic total energy is -4.362 eV per atom. The calculation puts the energy above the most stable polymorph in this dataset at 0 kJ/mol of formula units. Its crystal system is cubic. For the calculated formation energy, the calculation gives 51.1 kJ/mol of atoms. The calculation puts the total magnetization at 1.930 μB/f.u.

Cell lengths 4.757, 4.757, 4.757 Å; angles 90.00, 90.00, 90.00 degrees
Fractional coordinates of all 5 atoms:
Ba (0.000, 0.000, 0.000)
Ni (0.000, 0.500, 0.500)
Ni (0.500, 0.000, 0.500)
Ni (0.500, 0.500, 0.000)
Pd (0.500, 0.500, 0.500)



The following is a PBE calculation of an optimized crystal structure of BeTe2Cl, from Alexandria.

As for the symmetry: No. 65. The electronic total energy is -2.960 eV per atom. The calculation puts the energy above the most stable polymorph in this dataset at 138 kJ/mol of formula units. As for the uncorrected formation energy: 0.00 eV/atom. Its crystal system is orthorhombic. The calculation puts the total magnetization at 0.000 μB/f.u.

Cell lengths 4.035, 4.035, 7.898 Å; angles 90.00, 90.00, 124.08 degrees
Fractional coordinates of all 4 atoms:
Be (0.000, 0.000, 0.000)
Te (0.500, 0.500, 0.192)
Te (0.500, 0.500, 0.808)
Cl (0.000, 0.000, 0.500)



The following is a PBE calculation of an optimized crystal structure of PmCo2Ge, from Alexandria.

As for the symmetry: No. 129. The electronic total energy is -6.093 eV per atom. Its crystal system is tetragonal. For the calculated formation energy, the calculation gives -19.1 kJ/mol of atoms. The calculation puts the total magnetization at 0.729 μB/f.u.

Cell lengths 3.861, 3.861, 9.289 Å; angles 90.00, 90.00, 90.00 degrees
Fractional coordinates of all 8 atoms:
Pm (0.250, 0.250, 0.210)
Pm (0.750, 0.750, 0.790)
Co (0.250, 0.250, 0.908)
Co (0.250, 0.750, 0.500)
Co (0.750, 0.250, 0.500)
Co (0.750, 0.750, 0.092)
Ge (0.250, 0.250, 0.644)
Ge (0.750, 0.750, 0.356)